Here is SrFeMo2 after structural relaxation from the Alexandria database. Energies are from PBE-GGA.

Output
**Calculated formation energy**: 0.70 eV/atom
**Space group**: No. 123

Cell: 3.3577 3.3577 7.3670 Å, 90.00 90.00 90.00°
With the nearest neighbours (Å) after each atom.
Atoms (fractional coordinates):
1 Sr 0.0000 0.0000 0.0000  4 Sr 3.36, 8 Mo 3.48, 2 Fe 3.68
2 Fe 0.0000 0.0000 0.5000  8 Mo 2.63
3 Mo 0.5000 0.5000 0.3454  1 Mo 2.28
4 Mo 0.5000 0.5000 0.6546  1 Mo 2.28